(1)
Density functional theory data (PBE) for a relaxed structure of LiCa5.

Unit cell a=7.045 b=7.045 c=9.079 alpha=71.55 beta=71.55 gamma=33.07
Fractional coordinates of all 6 atoms:
Ca (0.949, 0.949, 0.033)
Ca (0.306, 0.306, 0.389)
Ca (0.662, 0.662, 0.745)
Ca (0.634, 0.634, 0.197)
Ca (0.977, 0.977, 0.580)
Li (0.306, 0.306, 0.889)

Values from the calculation:
- formation enthalpy at 0 K (kJ/mol of atoms) = 1.8
- ΔE to the lowest computed polymorph (meV per atom) = 13

---

(2)
Density functional theory data (PBE) for a relaxed structure of ZnCrAs2.

Unit cell a=3.088 b=3.089 c=6.654 alpha=90.00 beta=90.00 gamma=90.00
Fractional coordinates of all 4 atoms:
As (0.000, 0.000, 0.042)
As (0.000, 0.000, 0.458)
Cr (0.500, 0.500, 0.250)
Zn (0.500, 0.500, 0.750)

Values from the calculation:
- formation enthalpy at 0 K (kJ/mol of atoms) = 11.0

---

(3)
Density functional theory data (PBE) for a relaxed structure of Er3Mn3Si2C.

Unit cell a=3.796 b=6.698 c=6.698 alpha=120.00 beta=90.00 gamma=90.00
Each line ends with the local moment (μB).
Fractional coordinates of all 9 atoms:
Er (0.000, 0.000, 0.379)  0.15
Er (0.000, 0.621, 0.621)  0.15
Er (0.000, 0.379, 0.000)  0.15
Mn (0.500, 0.789, 0.000)  -2.23
Mn (0.500, 0.211, 0.211)  -2.23
Mn (0.500, 0.000, 0.789)  -2.23
Si (0.500, 0.333, 0.667)  0.04
Si (0.500, 0.667, 0.333)  0.04
C (0.000, 0.000, 0.000)  0.08

Values from the calculation:
- formation energy (no corrections) (eV per atom) = -0.235

---

(4)
Density functional theory data (PBE) for a relaxed structure of HfMgCdO2.

Unit cell a=4.052 b=6.355 c=4.052 alpha=90.00 beta=90.00 gamma=90.00
Fractional coordinates of all 5 atoms:
Mg (0.000, 0.500, 0.000)
Hf (0.000, 0.000, 0.000)
O (0.000, 0.000, 0.500)
O (0.500, 0.000, 0.000)
Cd (0.500, 0.500, 0.500)

Values from the calculation:
- formation energy (no corrections) (eV per atom) = -1.324

---

(5)
Density functional theory data (PBE) for a relaxed structure of LiSm2ThS4.

Unit cell a=3.976 b=6.898 c=6.881 alpha=109.05 beta=90.00 gamma=90.00
Fractional coordinates of all 8 atoms:
Li (0.000, 0.000, 0.000)
Sm (0.500, 0.000, 0.500)
Sm (0.000, 0.500, 0.500)
Th (0.500, 0.500, 0.000)
S (0.500, 0.242, 0.242)
S (0.500, 0.758, 0.758)
S (0.000, 0.240, 0.756)
S (0.000, 0.760, 0.244)

Values from the calculation:
- formation energy (no corrections) (eV per atom) = -1.860

---

(6)
Density functional theory data (PBE) for a relaxed structure of Pa4Tc3Ge5.

Unit cell a=4.529 b=7.695 c=8.324 alpha=84.07 beta=74.21 gamma=72.88
Fractional coordinates of all 12 atoms:
Pa (0.929, 0.235, 0.907)
Pa (0.239, 0.882, 0.639)
Pa (0.761, 0.118, 0.361)
Pa (0.071, 0.765, 0.093)
Tc (0.420, 0.809, 0.352)
Tc (0.000, 0.500, 0.500)
Tc (0.580, 0.191, 0.648)
Ge (0.597, 0.943, 0.862)
Ge (0.500, 0.500, 0.500)
Ge (0.213, 0.385, 0.189)
Ge (0.787, 0.615, 0.811)
Ge (0.403, 0.057, 0.138)

Values from the calculation:
- formation enthalpy at 0 K (kJ/mol of atoms) = -2.0

---

(7)
Density functional theory data (PBE) for a relaxed structure of SrPmHo.

Unit cell a=3.750 b=3.750 c=9.333 alpha=90.00 beta=90.00 gamma=120.00
Fractional coordinates of all 3 atoms:
Sr (0.000, 0.000, 0.996)
Ho (0.333, 0.667, 0.648)
Pm (0.667, 0.333, 0.356)

Values from the calculation:
- formation enthalpy at 0 K (kJ/mol of atoms) = 13.3
- ΔE to the lowest computed polymorph (meV per atom) = 21

---

(8)
Density functional theory data (PBE) for a relaxed structure of TaNiSe3.

Unit cell a=5.016 b=5.016 c=5.016 alpha=90.00 beta=90.00 gamma=90.00
Each line ends with the local moment (μB).
Fractional coordinates of all 5 atoms:
Ni (0.500, 0.500, 0.500)  0.90
Se (0.000, 0.500, 0.000)  0.11
Se (0.000, 0.000, 0.500)  0.07
Se (0.500, 0.000, 0.000)  0.10
Ta (0.000, 0.000, 0.000)  -0.09

Values from the calculation:
- formation energy (no corrections) (eV per atom) = 0.409
- ΔE to the lowest computed polymorph (meV per atom) = 986

---

Number 1: calculated volume 38.68 Å³ per atom, VASP energy -11.81 eV for the cell shown, DOS at the Fermi energy 5.423 states/eV/cell. Number 2: calculated volume 15.87 Å³ per atom, VASP energy -19.74 eV for the cell shown, DOS at the Fermi energy 2.040 states/eV/cell. Number 3: calculated volume 16.38 Å³ per atom, VASP energy -63.38 eV for the cell shown, DOS at the Fermi energy 4.342 states/eV/cell. Number 4: calculated volume 20.87 Å³ per atom, VASP energy -29.00 eV for the cell shown, DOS at the Fermi energy 1.369 states/eV/cell. Number 5: calculated volume 22.30 Å³ per atom, VASP energy -50.16 eV for the cell shown, DOS at the Fermi energy 4.090 states/eV/cell. Number 6: calculated volume 22.22 Å³ per atom, VASP energy -92.42 eV for the cell shown, DOS at the Fermi energy 11.933 states/eV/cell. Number 7: calculated volume 37.88 Å³ per atom, VASP energy -10.60 eV for the cell shown, DOS at the Fermi energy 4.323 states/eV/cell. Number 8: calculated volume 25.24 Å³ per atom, VASP energy -26.04 eV for the cell shown, DOS at the Fermi energy 6.980 states/eV/cell.